1.
# La6Y5Sc GGA-PBE relaxed
data_La6Y5Sc
_cell_length_a 16.553
_cell_length_b 9.876
_cell_length_c 5.239
_cell_angle_alpha 90.00
_cell_angle_beta 108.37
_cell_angle_gamma 90.00
_space_group_name_H-M_alt 'C 1 2/m 1'
_space_group_IT_number 12
_space_group_name_Hall '-C 2y'
loop_
_atom_site_label
_atom_site_fract_x
_atom_site_fract_y
_atom_site_fract_z
La1 0.000 0.243 0.000
La2 0.165 0.246 0.665
Y1 0.000 0.500 0.500
Y2 0.165 0.500 0.165
Y3 0.167 0.000 0.167
Sc1 0.000 0.000 0.500
# N(E_F) ... 1.443 states/eV/atom
# Total moment ... 0.000 μB/f.u.
# ΔE_f ... 31 meV/atom



2.
# LaY5Sc GGA-PBE relaxed
data_LaY5Sc
_cell_length_a 11.100
_cell_length_b 12.597
_cell_length_c 7.044
_cell_angle_alpha 90.00
_cell_angle_beta 110.08
_cell_angle_gamma 90.00
_space_group_name_H-M_alt 'C 1 2/c 1'
_space_group_IT_number 15
_space_group_name_Hall '-C 2yc'
loop_
_atom_site_label
_atom_site_fract_x
_atom_site_fract_y
_atom_site_fract_z
La1 0.000 0.156 0.250
Y1 0.000 0.109 0.750
Y2 0.028 0.364 0.537
Y3 0.244 0.473 0.360
Sc1 0.250 0.250 0.000
# N(E_F) ... 1.631 states/eV/atom
# Total moment ... 0.002 μB/f.u.
# ΔE_f ... 214 meV/atom



3.
# La2Y8Sc GGA-PBE relaxed
data_La2Y8Sc
_cell_length_a 8.947
_cell_length_b 15.950
_cell_length_c 5.877
_cell_angle_alpha 90.00
_cell_angle_beta 120.23
_cell_angle_gamma 90.00
_space_group_name_H-M_alt 'C 1 2/m 1'
_space_group_IT_number 12
_space_group_name_Hall '-C 2y'
loop_
_atom_site_label
_atom_site_fract_x
_atom_site_fract_y
_atom_site_fract_z
La1 0.000 0.196 0.000
Y1 0.000 0.295 0.500
Y2 0.092 0.000 0.302
Y3 0.211 0.389 0.158
Sc1 0.000 0.500 0.500
# N(E_F) ... 1.499 states/eV/atom
# Total moment ... 0.007 μB/f.u.
# ΔE_f ... 173 meV/atom



4.
# La2Y6Sc GGA-PBE relaxed
data_La2Y6Sc
_cell_length_a 3.5875
_cell_length_b 3.5875
_cell_length_c 26.4078
_cell_angle_alpha 90.00
_cell_angle_beta 90.00
_cell_angle_gamma 120.00
_space_group_name_H-M_alt 'P -6 m 2'
_space_group_IT_number 187
_space_group_name_Hall 'P -6 2'
loop_
_atom_site_label
_atom_site_fract_x
_atom_site_fract_y
_atom_site_fract_z
La1 0.0000 0.0000 0.1739
Y1 0.0000 0.0000 0.3993
Y2 0.6667 0.3333 0.0630
Y3 0.6667 0.3333 0.2916
Sc1 0.6667 0.3333 0.5000
# N(E_F) ... 1.776 states/eV/atom
# Total moment ... 0.004 μB/f.u.
# ΔE_f ... 75 meV/atom



5.
# La6Y4Sc GGA-PBE relaxed
data_La6Y4Sc
_cell_length_a 5.878
_cell_length_b 9.840
_cell_length_c 26.311
_cell_angle_alpha 90.00
_cell_angle_beta 90.00
_cell_angle_gamma 90.00
_space_group_name_H-M_alt 'C m c m'
_space_group_IT_number 63
_space_group_name_Hall '-C 2c 2'
loop_
_atom_site_label
_atom_site_fract_x
_atom_site_fract_y
_atom_site_fract_z
La1 0.000 0.000 0.000
La2 0.000 0.036 0.250
La3 0.000 0.311 0.602
La4 0.000 0.364 0.184
Y1 0.000 0.029 0.125
Y2 0.000 0.344 0.046
Sc1 0.000 0.302 0.750
# N(E_F) ... 1.734 states/eV/atom
# Total moment ... 0.001 μB/f.u.
# ΔE_f ... 122 meV/atom



6.
# La4YSc GGA-PBE relaxed
data_La4YSc
_cell_length_a 9.412
_cell_length_b 9.412
_cell_length_c 9.412
_cell_angle_alpha 90.00
_cell_angle_beta 90.00
_cell_angle_gamma 90.00
_space_group_name_H-M_alt 'F -4 3 m'
_space_group_IT_number 216
_space_group_name_Hall 'F -4 2 3'
loop_
_atom_site_label
_atom_site_fract_x
_atom_site_fract_y
_atom_site_fract_z
La1 0.124 0.124 0.124
Y1 0.000 0.000 0.500
Sc1 0.250 0.250 0.750
# N(E_F) ... 1.895 states/eV/atom
# Total moment ... 0.000 μB/f.u.
# ΔE_f ... 294 meV/atom



Copy entry 4 word for word.
# La2Y6Sc GGA-PBE relaxed
data_La2Y6Sc
_cell_length_a 3.5875
_cell_length_b 3.5875
_cell_length_c 26.4078
_cell_angle_alpha 90.00
_cell_angle_beta 90.00
_cell_angle_gamma 120.00
_space_group_name_H-M_alt 'P -6 m 2'
_space_group_IT_number 187
_space_group_name_Hall 'P -6 2'
loop_
_atom_site_label
_atom_site_fract_x
_atom_site_fract_y
_atom_site_fract_z
La1 0.0000 0.0000 0.1739
Y1 0.0000 0.0000 0.3993
Y2 0.6667 0.3333 0.0630
Y3 0.6667 0.3333 0.2916
Sc1 0.6667 0.3333 0.5000
# N(E_F) ... 1.776 states/eV/atom
# Total moment ... 0.004 μB/f.u.
# ΔE_f ... 75 meV/atom



> What is the total moment in the fourth record?

0.004 μB/f.u.